1.
VASP calculation (PBE-GGA) on a relaxed Hf2Zr4In3 crystal.

Lattice parameters (Å, degrees): 5.6210 5.6210 12.8679 111.00 111.00 32.93
Element x y z (fractional)
1 Hf 0.0464 0.0464 0.2195
2 Hf 0.9536 0.9536 0.7805
3 Zr 0.1648 0.1648 0.6657
4 Zr 0.2690 0.2690 0.1126
5 Zr 0.7310 0.7310 0.8874
6 Zr 0.8352 0.8352 0.3343
7 In 0.3882 0.3882 0.5595
8 In 0.5000 0.5000 0.0000
9 In 0.6118 0.6118 0.4405

2.
VASP calculation (PBE-GGA) on a relaxed Hf5ZrIn6 crystal.

Lattice parameters (Å, degrees): 4.4172 8.8996 6.9847 90.00 108.26 90.00
Element x y z (fractional)
1 Hf 0.0000 0.0000 0.0000
2 Hf 0.3320 0.5000 0.6642
3 Hf 0.3333 0.0000 0.6666
4 Hf 0.6667 0.0000 0.3334
5 Hf 0.6680 0.5000 0.3358
6 Zr 0.0000 0.5000 0.0000
7 In 0.1667 0.2493 0.3336
8 In 0.1667 0.7507 0.3336
9 In 0.5000 0.2494 0.0000
10 In 0.5000 0.7506 0.0000
11 In 0.8333 0.2493 0.6664
12 In 0.8333 0.7507 0.6664

3.
VASP calculation (PBE-GGA) on a relaxed HfZrIn2 crystal.

Lattice parameters (Å, degrees): 5.0025 5.0025 5.0025 60.00 60.00 60.00
Element x y z (fractional)
1 Hf 0.0000 0.0000 0.0000
2 Zr 0.5000 0.5000 0.5000
3 In 0.2500 0.2500 0.2500
4 In 0.7500 0.7500 0.7500

4.
VASP calculation (PBE-GGA) on a relaxed HfZrIn2 crystal.

Lattice parameters (Å, degrees): 3.1349 3.1349 8.9139 90.00 90.00 90.00
Element x y z (fractional)
1 Hf 0.0000 0.0000 0.0000
2 Zr 0.0000 0.0000 0.5000
3 In 0.5000 0.5000 0.2482
4 In 0.5000 0.5000 0.7518

Number 1: energy of formation -0.82 eV/f.u., DOS(E_F) 11.28 states/eV per cell. Number 2: energy of formation -2.21 eV/f.u., DOS(E_F) 7.21 states/eV per cell. Number 3: energy of formation -0.20 eV/f.u., DOS(E_F) 8.35 states/eV per cell. Number 4: energy of formation -0.95 eV/f.u., DOS(E_F) 2.97 states/eV per cell.